DFT (PBE) results for a relaxed structure of Fe2RhBr. Values from VASP.

Geometry as Quantum ESPRESSO input:
```
&SYSTEM
  ibrav = 0, nat = 16, ntyp = 3
/
ATOMIC_SPECIES
Fe 55.84 Fe.upf
Rh 102.91 Rh.upf
Br 79.90 Br.upf
CELL_PARAMETERS angstrom
6.233 0.000 0.000
0.000 6.233 0.000
0.000 0.000 6.233
ATOMIC_POSITIONS crystal
Fe 0.000 0.000 0.000
Fe 0.000 0.500 0.500
Fe 0.250 0.250 0.250
Fe 0.250 0.750 0.750
Fe 0.500 0.000 0.500
Fe 0.500 0.500 0.000
Fe 0.750 0.250 0.750
Fe 0.750 0.750 0.250
Rh 0.000 0.000 0.500
Rh 0.000 0.500 0.000
Rh 0.500 0.000 0.000
Rh 0.500 0.500 0.500
Br 0.250 0.250 0.750
Br 0.250 0.750 0.250
Br 0.750 0.250 0.250
Br 0.750 0.750 0.750
```

## Properties
excess energy over the best structure of this formula in the dataset = 401 meV/atom
E_form (uncorrected) = 683 meV/atom